First-principles (PBEsol) data for Na6Sn2Se7 after structural relaxation, as listed in the Alexandria database.

Geometry as POSCAR:
```
Na6Sn2Se7
1.0
7.353 -0.065 0.011
-1.111 7.269 0.011
-2.558 -2.952 15.438
Se Na Sn
14 12 4
Cartesian
4.274 1.067 6.186 Se
-1.854 -0.961 15.180 Se
5.021 -1.920 11.590 Se
-0.589 3.186 9.275 Se
-0.831 2.906 13.905 Se
3.216 1.401 10.523 Se
2.207 4.859 2.804 Se
0.591 -0.496 7.460 Se
1.477 -0.606 12.657 Se
3.093 4.748 8.001 Se
-1.336 6.172 3.871 Se
4.516 1.346 1.556 Se
0.468 2.852 4.938 Se
5.538 5.214 0.282 Se
-0.564 3.262 2.155 Na
4.248 0.990 13.306 Na
2.031 -1.569 9.874 Na
3.124 2.307 3.871 Na
0.560 1.945 11.590 Na
3.121 3.602 0.011 Na
3.069 -2.547 14.287 Na
1.842 2.126 7.731 Na
5.363 0.101 8.894 Na
1.654 5.822 5.587 Na
0.615 6.799 1.174 Na
-1.679 4.151 6.568 Na
-0.669 0.716 5.629 Sn
4.354 3.536 9.832 Sn
4.159 6.289 2.113 Sn
-0.474 -2.036 13.348 Sn
```

Results
The value obtained for the uncorrected formation energy is -832 meV per atom. The crystal system is monoclinic. For the volume, the calculation gives 27.5 Å³/atom. The space group is C2/c (15).